(1)
{
  "formula": "Pm5Ga6",
  "functional": "PBE-GGA",
  "state": "optimized geometry",
  "lattice": [[-2.5422, 3.6444, 7.8177], [2.5422, -3.6444, 7.8177], [2.5422, 3.6444, -7.8177]],
  "species": ["Pm", "Pm", "Pm", "Pm", "Pm", "Ga", "Ga", "Ga", "Ga", "Ga", "Ga"],
  "fractional_positions": [[0.0000, 0.0000, 0.0000], [0.1831, 0.6831, 0.5000], [0.3669, 0.3669, 0.0000], [0.6331, 0.6331, 0.0000], [0.8169, 0.3169, 0.5000], [0.0724, 0.8335, 0.2389], [0.2061, 0.5000, 0.7061], [0.4054, 0.1665, 0.2389], [0.5946, 0.8335, 0.7611], [0.7939, 0.5000, 0.2939], [0.9276, 0.1665, 0.7611]],
  "formation_energy_ev_per_atom": -0.4480
}



(2)
{
  "formula": "Pm3Ga",
  "functional": "PBE-GGA",
  "state": "optimized geometry",
  "lattice": [[0.0000, 3.8543, 3.8543], [3.8543, 0.0000, 3.8543], [3.8543, 3.8543, 0.0000]],
  "species": ["Pm", "Pm", "Pm", "Ga"],
  "fractional_positions": [[0.0000, 0.0000, 0.0000], [0.2500, 0.2500, 0.2500], [0.7500, 0.7500, 0.7500], [0.5000, 0.5000, 0.5000]],
  "formation_energy_ev_per_atom": -0.0659,
  "relative_energy_mev_per_atom": 195.8
}



(3)
{
  "formula": "PmGa3",
  "functional": "PBE-GGA",
  "state": "optimized geometry",
  "lattice": [[4.3579, 0.0000, 0.0000], [0.0000, 4.3579, 0.0000], [0.0000, 0.0000, 4.3579]],
  "species": ["Pm", "Ga", "Ga", "Ga"],
  "fractional_positions": [[0.0000, 0.0000, 0.0000], [0.0000, 0.5000, 0.5000], [0.5000, 0.0000, 0.5000], [0.5000, 0.5000, 0.0000]],
  "formation_energy_ev_per_atom": -0.5312,
  "relative_energy_mev_per_atom": 44.2
}



(4)
{
  "formula": "Pm2Ga",
  "functional": "PBE-GGA",
  "state": "optimized geometry",
  "lattice": [[6.6862, 0.0000, 0.0000], [0.0000, 5.1453, 0.0000], [0.0000, 0.0000, 9.6818]],
  "species": ["Pm", "Pm", "Pm", "Pm", "Pm", "Pm", "Pm", "Pm", "Ga", "Ga", "Ga", "Ga"],
  "fractional_positions": [[0.0200, 0.2500, 0.1968], [0.1823, 0.2500, 0.5794], [0.3177, 0.7500, 0.0794], [0.4800, 0.7500, 0.6968], [0.5200, 0.2500, 0.3032], [0.6823, 0.2500, 0.9206], [0.8177, 0.7500, 0.4206], [0.9800, 0.7500, 0.8032], [0.2107, 0.2500, 0.8984], [0.2893, 0.7500, 0.3984], [0.7107, 0.2500, 0.6016], [0.7893, 0.7500, 0.1016]],
  "formation_energy_ev_per_atom": -0.3981,
  "relative_energy_mev_per_atom": 0.0
}



(5)
{
  "formula": "Pm4Ga",
  "functional": "PBE-GGA",
  "state": "optimized geometry",
  "lattice": [[-1.8128, 1.8128, 11.6974], [1.8128, -1.8128, 11.6974], [1.8128, 1.8128, -11.6974]],
  "species": ["Pm", "Pm", "Pm", "Pm", "Ga"],
  "fractional_positions": [[0.0800, 0.0800, 0.0000], [0.3053, 0.3053, 0.0000], [0.6947, 0.6947, 0.0000], [0.9200, 0.9200, 0.0000], [0.5000, 0.5000, 0.0000]],
  "formation_energy_ev_per_atom": -0.2017,
  "relative_energy_mev_per_atom": 0.0
}



(6)
{
  "formula": "Pm3Ga8",
  "functional": "PBE-GGA",
  "state": "optimized geometry",
  "lattice": [[-2.1289, 2.1508, 12.6902], [2.1289, -2.1508, 12.6902], [2.1289, 2.1508, -12.6902]],
  "species": ["Pm", "Pm", "Pm", "Ga", "Ga", "Ga", "Ga", "Ga", "Ga", "Ga", "Ga"],
  "fractional_positions": [[0.0000, 0.0000, 0.0000], [0.3546, 0.8546, 0.5000], [0.6454, 0.1454, 0.5000], [0.0946, 0.5946, 0.5000], [0.1911, 0.6911, 0.5000], [0.2505, 0.2505, 0.0000], [0.4517, 0.4517, 0.0000], [0.5483, 0.5483, 0.0000], [0.7495, 0.7495, 0.0000], [0.8089, 0.3089, 0.5000], [0.9054, 0.4054, 0.5000]],
  "formation_energy_ev_per_atom": -0.5888
}



(7)
{
  "formula": "Pm3Ga",
  "functional": "PBE-GGA",
  "state": "optimized geometry",
  "lattice": [[4.8265, 0.0000, 0.0000], [0.0000, 4.8265, 0.0000], [0.0000, 0.0000, 4.8265]],
  "species": ["Pm", "Pm", "Pm", "Ga"],
  "fractional_positions": [[0.0000, 0.0000, 0.5000], [0.0000, 0.5000, 0.0000], [0.5000, 0.0000, 0.0000], [0.5000, 0.5000, 0.5000]],
  "formation_energy_ev_per_atom": -0.2355,
  "relative_energy_mev_per_atom": 26.1
}



(8)
{
  "formula": "Pm3Ga",
  "functional": "PBE-GGA",
  "state": "optimized geometry",
  "lattice": [[-1.9101, 2.6691, 5.8497], [1.9101, -2.6691, 5.8497], [1.9101, 2.6691, -5.8497]],
  "species": ["Pm", "Pm", "Pm", "Ga"],
  "fractional_positions": [[0.0000, 0.0000, 0.0000], [0.2906, 0.7906, 0.5000], [0.7094, 0.2094, 0.5000], [0.5000, 0.5000, 0.0000]],
  "formation_energy_ev_per_atom": -0.2617,
  "relative_energy_mev_per_atom": 0.0
}